This record from Alexandria describes a relaxed HfTa2S crystal. The functional is GGA-PBE.

Cell lengths 3.853, 3.853, 20.288 Å; angles 90.00, 90.00, 90.00 degrees
Space group I-42d (No. 122)
Unique sites:
Hf: 0.000 0.000 0.000 [4 per cell]
Ta: 0.246 0.250 0.625 [8 per cell]
S: 0.000 0.000 0.500 [4 per cell]

***

This record from Alexandria describes a relaxed HfTaTe2S crystal. The functional is GGA-PBE.

Cell lengths 5.628, 5.628, 4.657 Å; angles 90.00, 90.00, 90.00 degrees
Space group P4/mmm (No. 123)
Unique sites:
Hf: 0.000 0.000 0.000 [1 per cell]
Ta: 0.500 0.500 0.500 [1 per cell]
Te: 0.000 0.500 0.000 [2 per cell]
S: 0.000 0.000 0.500 [1 per cell]

***

This record from Alexandria describes a relaxed HfTaTi2S crystal. The functional is GGA-PBE.

Cell lengths 4.729, 4.729, 5.304 Å; angles 90.00, 90.00, 90.00 degrees
Space group P4/mmm (No. 123)
Unique sites:
Hf: 0.000 0.000 0.000 [1 per cell]
Ta: 0.000 0.000 0.500 [1 per cell]
Ti: 0.000 0.500 0.500 [2 per cell]
S: 0.500 0.500 0.000 [1 per cell]

***

This record from Alexandria describes a relaxed HfTaZnS2 crystal. The functional is GGA-PBE.

Cell lengths 4.790, 4.790, 5.064 Å; angles 90.00, 90.00, 90.00 degrees
Space group P4/mmm (No. 123)
Unique sites:
Hf: 0.000 0.000 0.000 [1 per cell]
Ta: 0.500 0.500 0.500 [1 per cell]
Zn: 0.000 0.000 0.500 [1 per cell]
S: 0.000 0.500 0.000 [2 per cell]

***

This record from Alexandria describes a relaxed HfTaZnS2 crystal. The functional is GGA-PBE.

Cell lengths 4.799, 4.799, 5.463 Å; angles 90.00, 90.00, 90.00 degrees
Space group P4/mmm (No. 123)
Unique sites:
Hf: 0.000 0.000 0.000 [1 per cell]
Ta: 0.000 0.000 0.500 [1 per cell]
Zn: 0.500 0.500 0.500 [1 per cell]
S: 0.000 0.500 0.000 [2 per cell]

***

This record from Alexandria describes a relaxed TbHfS4 crystal. The functional is GGA-PBE.

Cell lengths 8.802, 8.904, 3.871 Å; angles 90.00, 90.00, 90.00 degrees
Space group Cmmm (No. 65)
Unique sites:
Tb: 0.000 0.000 0.000 [2 per cell]
Hf: 0.000 0.500 0.500 [2 per cell]
S: 0.000 0.312 0.000 [4 per cell]
S: 0.214 0.000 0.500 [4 per cell]

***

Number 1: D(E_F) 7.36 states/eV/cell, raw formation energy 0.15 eV per atom. Number 2: D(E_F) 4.56 states/eV/cell, raw formation energy 0.48 eV per atom. Number 3: D(E_F) 6.04 states/eV/cell, raw formation energy 1.12 eV per atom. Number 4: D(E_F) 3.30 states/eV/cell, raw formation energy 0.64 eV per atom. Number 5: D(E_F) 4.90 states/eV/cell, raw formation energy 0.61 eV per atom. Number 6: D(E_F) 11.00 states/eV/cell, raw formation energy -1.40 eV per atom.